# POs3 | Alexandria via LeMat-Bulk | PBEsol | optimized geometry
# - formation enthalpy at 0 K (meV/atom) = 632.7
# - E_tot (eV per atom) = -9.98
data_POs3
_cell_length_a 2.760
_cell_length_b 4.784
_cell_length_c 8.423
_cell_angle_alpha 90.00
_cell_angle_beta 90.00
_cell_angle_gamma 90.00
_space_group_name_H-M_alt 'C m m m'
_space_group_IT_number 65
_space_group_name_Hall '-C 2 2'
loop_
_atom_site_label
_atom_site_type_symbol
_atom_site_fract_x
_atom_site_fract_y
_atom_site_fract_z
_atom_site_occupancy
P1 P 0.000 0.000 0.000 1
Os1 Os 0.000 0.000 0.500 1
Os2 Os 0.000 0.500 0.226 1